Entry from the Alexandria database: a relaxed structure of CsAuSN2 (GGA-PBE).

**Formation energy without anion corrections**: 2.570 eV per atom
**M_tot**: 1.19 μB per cell
**Total energy**: -12.06 eV for the cell shown

Unit cell a=4.2057 b=4.2057 c=6.9866 alpha=90.00 beta=90.00 gamma=90.00
Positions (direct):
1 Cs 0.0000 0.0000 0.0000
2 Au 0.5000 0.5000 0.5000
3 S 0.0000 0.0000 0.5000
4 N 0.0000 0.5000 0.0000
5 N 0.5000 0.0000 0.0000